Record 1
Here is a relaxed structure of NpZnRuO6 from the Alexandria database. Energies are from PBE. Values from VASP.

Results
Its energy is -137.15 eV per cell. Its formation energy from raw total energies is -1703.8 meV/atom.

```
&SYSTEM
  ibrav = 0, nat = 18, ntyp = 4
/
ATOMIC_SPECIES
Np 237.00 Np.upf
Zn 65.41 Zn.upf
Ru 101.07 Ru.upf
O 16.00 O.upf
CELL_PARAMETERS angstrom
-4.558 2.550 0.351
0.053 -5.212 -0.476
0.232 -0.817 8.960
ATOMIC_POSITIONS angstrom
Np -2.963 -0.242 2.315
Np -1.310 -3.237 6.519
Zn -1.426 -2.829 2.039
Zn -2.847 -0.650 6.795
Ru 0.000 0.000 0.000
Ru 0.116 -0.408 4.480
O -3.054 -1.882 1.034
O -4.476 0.782 1.314
O -1.242 -4.875 5.234
O 0.203 -4.261 7.521
O -1.372 -1.127 3.327
O -4.398 -1.302 3.389
O -2.826 -4.161 7.608
O -3.031 1.396 3.600
O 0.126 -2.177 5.445
O -1.447 0.682 1.226
O -2.901 -2.352 5.507
O -1.219 -1.597 7.800
```

Record 2
Here is a relaxed structure of NpS2O8 from the Alexandria database. Energies are from PBE. Values from VASP.

Results
Its energy is -79.39 eV per cell. Its formation energy from raw total energies is -1684.2 meV/atom.

```
&SYSTEM
  ibrav = 0, nat = 11, ntyp = 3
/
ATOMIC_SPECIES
Np 237.00 Np.upf
S 32.06 S.upf
O 16.00 O.upf
CELL_PARAMETERS angstrom
5.353 0.280 0.240
1.019 5.730 0.953
1.019 1.830 5.513
ATOMIC_POSITIONS angstrom
Np 0.000 0.000 0.000
S 2.102 1.589 1.359
S 5.289 6.250 5.346
O 4.933 1.819 3.962
O 2.458 3.644 5.523
O 3.566 1.327 1.135
O 3.824 6.512 5.570
O 4.933 4.196 1.183
O 2.458 6.021 2.744
O 1.924 2.676 2.288
O 5.466 5.164 4.417
```

Record 3
Here is a relaxed structure of Np2S2O from the Alexandria database. Energies are from PBE. Values from VASP.

Results
Its energy is -194.96 eV per cell. Its formation energy from raw total energies is -1929.1 meV/atom.

```
&SYSTEM
  ibrav = 0, nat = 20, ntyp = 3
/
ATOMIC_SPECIES
Np 237.00 Np.upf
S 32.06 S.upf
O 16.00 O.upf
CELL_PARAMETERS angstrom
6.786 0.000 -0.453
0.000 7.006 0.000
-0.575 0.000 8.235
ATOMIC_POSITIONS angstrom
Np 5.035 6.588 0.777
Np 1.642 3.920 1.004
Np 4.570 3.085 6.778
Np 1.177 0.418 7.004
Np 4.486 2.633 3.098
Np 1.093 0.870 3.324
Np 5.119 6.135 4.457
Np 1.726 4.373 4.683
S 3.517 1.879 0.440
S 0.124 1.624 0.666
S 6.088 5.382 7.115
S 2.695 5.127 7.342
S 6.263 4.608 2.295
S 2.870 5.900 2.522
S 3.342 1.105 5.259
S -0.051 2.397 5.486
O 2.150 2.874 2.995
O 4.062 4.131 4.786
O 5.543 0.629 2.768
O 0.669 6.377 5.013
```

Record 4
Here is a relaxed structure of Np3S3O from the Alexandria database. Energies are from PBE. Values from VASP.

Results
Its energy is -270.72 eV per cell. Its formation energy from raw total energies is -1645.3 meV/atom.

```
&SYSTEM
  ibrav = 0, nat = 28, ntyp = 3
/
ATOMIC_SPECIES
Np 237.00 Np.upf
S 32.06 S.upf
O 16.00 O.upf
CELL_PARAMETERS angstrom
6.829 0.000 0.000
0.000 7.719 -0.882
0.000 -0.605 10.563
ATOMIC_POSITIONS angstrom
Np 6.348 6.791 5.974
Np 3.895 7.093 0.693
Np 0.721 5.169 9.807
Np 2.693 5.472 4.525
Np 3.962 4.105 8.264
Np 6.281 4.408 2.983
Np 0.548 2.707 6.698
Np 2.866 3.009 1.416
Np 4.135 1.643 5.155
Np 6.108 1.945 -0.126
Np 2.934 0.022 8.988
Np 0.481 0.324 3.706
S 5.519 6.464 8.592
S 4.724 6.766 3.311
S 1.616 5.261 7.029
S 5.112 4.229 5.636
S 1.799 5.563 1.748
S 5.131 4.531 0.354
S 1.698 2.583 9.326
S 5.030 1.551 7.933
S 1.717 2.886 4.045
S 5.213 1.854 2.651
S 2.105 0.349 6.370
S 1.309 0.651 1.088
O 2.865 5.743 9.426
O 0.549 6.046 4.144
O 6.280 1.069 5.536
O 3.963 1.371 0.255
```

Record 5
Here is a relaxed structure of Np2SO2 from the Alexandria database. Energies are from PBE. Values from VASP.

Results
Its energy is -52.44 eV per cell. Its formation energy from raw total energies is -2503.5 meV/atom.

```
&SYSTEM
  ibrav = 0, nat = 5, ntyp = 3
/
ATOMIC_SPECIES
Np 237.00 Np.upf
S 32.06 S.upf
O 16.00 O.upf
CELL_PARAMETERS angstrom
3.860 0.000 0.000
1.930 3.343 0.000
0.000 0.000 6.596
ATOMIC_POSITIONS angstrom
Np 1.930 1.114 1.817
Np 3.860 2.229 4.779
S 0.000 0.000 0.000
O 1.930 1.114 4.143
O 3.860 2.229 2.454
```

Record 6
Here is a relaxed structure of Np2SO from the Alexandria database. Energies are from PBE. Values from VASP.

Results
Its energy is -39.80 eV per cell. Its formation energy from raw total energies is -1207.2 meV/atom.

```
&SYSTEM
  ibrav = 0, nat = 4, ntyp = 3
/
ATOMIC_SPECIES
Np 237.00 Np.upf
S 32.06 S.upf
O 16.00 O.upf
CELL_PARAMETERS angstrom
5.094 0.000 0.000
2.547 4.411 0.000
2.547 1.470 3.362
ATOMIC_POSITIONS angstrom
Np 2.547 1.470 1.155
Np 7.641 4.411 2.207
S 5.094 2.941 1.681
O 0.000 0.000 0.000
```